1.
A geometry-optimized CsGaH structure. Source: the Alexandria database, functional GGA-PBE.

a b c (Å): 5.242 4.527 8.774
angles (deg): 89.99 89.96 90.00
Fractional coordinates of all 6 atoms:
H1 0.812 0.716 0.639
H2 0.812 0.216 0.154
Ga1 0.812 0.716 0.449
Ga2 0.811 0.216 0.344
Cs1 0.311 0.216 0.648
Cs2 0.312 0.716 0.144

Total magnetization, μB/f.u.: 0.00
Electronic total energy, eV/atom: -2.51
Symmetry: Pmma (51)

2.
A geometry-optimized RbTl2Hg2Sb2 structure. Source: the Alexandria database, functional GGA-PBE.

a b c (Å): 5.427 5.427 10.076
angles (deg): 74.38 74.38 60.00
Fractional coordinates of all 7 atoms:
Sb1 0.243 0.243 0.271
Sb2 0.757 0.757 0.729
Hg1 0.415 0.415 0.756
Hg2 0.585 0.585 0.244
Tl1 0.131 0.131 0.607
Tl2 0.869 0.869 0.393
Rb1 0.000 0.000 0.000

Formation energy from raw total energies, meV/atom: -107
Total magnetization, μB/f.u.: 0.00
Electronic total energy, eV/atom: -2.18
Symmetry: R-3m (166)

3.
A geometry-optimized RbNiBi2 structure. Source: the Alexandria database, functional GGA-PBE.

a b c (Å): 6.314 6.314 9.282
angles (deg): 70.12 70.12 90.00
Fractional coordinates of all 8 atoms:
Bi1 0.373 0.125 0.250
Bi2 0.375 0.627 0.750
Bi3 0.875 0.623 0.750
Bi4 0.377 0.625 0.250
Ni1 0.250 0.750 0.500
Ni2 0.500 0.500 0.000
Rb1 0.000 0.000 0.000
Rb2 0.750 0.250 0.500

Energy of formation, eV per atom: 0.11
Total magnetization, μB/f.u.: 0.00
Electronic total energy, eV/atom: -3.52
Symmetry: I-42d (122)

4.
A geometry-optimized Pm3Y2Pb4 structure. Source: the Alexandria database, functional GGA-PBE.

a b c (Å): 4.913 6.309 10.116
angles (deg): 94.77 90.00 112.92
Last column: magnetic moment on the atom in μB.
Fractional coordinates of all 9 atoms:
Y1 0.682 0.363 0.803  0.07
Y2 0.318 0.637 0.197  0.07
Pm1 0.000 0.000 0.000  0.01
Pm2 0.370 0.740 0.582  0.18
Pm3 0.630 0.260 0.418  0.18
Pb1 0.082 0.165 0.638  -0.01
Pb2 0.348 0.695 0.890  -0.01
Pb3 0.652 0.305 0.110  -0.01
Pb4 0.918 0.835 0.362  -0.01

Energy of formation, eV per atom: -0.44
Total magnetization, μB/f.u.: 1.19
Electronic total energy, eV/atom: -5.11
Symmetry: C2/m (12)

5.
A geometry-optimized Ba2InSn2 structure. Source: the Alexandria database, functional GGA-PBE.

a b c (Å): 4.264 4.264 11.079
angles (deg): 78.91 78.91 90.00
Fractional coordinates of all 5 atoms:
Sn1 0.750 0.250 0.500
Sn2 0.250 0.750 0.500
In1 0.000 0.000 0.000
Ba1 0.605 0.605 0.790
Ba2 0.395 0.395 0.210

Energy of formation, eV per atom: -0.31
Total magnetization, μB/f.u.: 0.00
Electronic total energy, eV/atom: -3.23
Symmetry: I4/mmm (139)

6.
A geometry-optimized TaAgBr2 structure. Source: the Alexandria database, functional GGA-PBE.

a b c (Å): 4.975 4.975 4.975
angles (deg): 60.00 60.00 60.00
Last column: magnetic moment on the atom in μB.
Fractional coordinates of all 4 atoms:
Ag1 0.500 0.500 0.500  0.01
Ta1 0.250 0.250 0.250  1.35
Br1 0.000 0.000 0.000  -0.04
Br2 0.750 0.750 0.750  0.00

Formation energy from raw total energies, meV/atom: 971
Total magnetization, μB/f.u.: 1.90
Electronic total energy, eV/atom: -3.54
Symmetry: F-43m (216)